First-principles (PBE-GGA) data for Li2SmAu after structural relaxation, as listed in the Alexandria database.

Output
Fermi-level density of states: 1.26 states/eV/atom
Size of the total moment: 0.000 μB per atom
Energy above the lowest structure with this stoichiometry: 155 meV/atom

```
data_Li2SmAu
_chemical_formula_sum 'Li2 Sm1 Au1'
_cell_length_a 4.756
_cell_length_b 4.756
_cell_length_c 4.756
_cell_angle_alpha 60.00
_cell_angle_beta 60.00
_cell_angle_gamma 60.00
_space_group_name_H-M_alt 'P 1'
_space_group_IT_number 1
loop_
_space_group_symop_operation_xyz
'x,y,z'
loop_
_atom_site_label
_atom_site_fract_x
_atom_site_fract_y
_atom_site_fract_z
Li1 0.250 0.250 0.250
Li2 0.750 0.750 0.750
Sm1 0.000 0.000 0.000
Au1 0.500 0.500 0.500
```

---

First-principles (PBE-GGA) data for Li6Sm2Au3 after structural relaxation, as listed in the Alexandria database.

Output
Total DFT energy (no corrections): -3.20 eV per atom
Fermi-level density of states: 0.54 states/eV/atom
Size of the total moment: 0.000 μB per atom

```
data_Li6Sm2Au3
_chemical_formula_sum 'Li6 Sm2 Au3'
_cell_length_a 8.020
_cell_length_b 8.020
_cell_length_c 4.019
_cell_angle_alpha 90.00
_cell_angle_beta 90.00
_cell_angle_gamma 120.00
_space_group_name_H-M_alt 'P 1'
_space_group_IT_number 1
loop_
_space_group_symop_operation_xyz
'x,y,z'
loop_
_atom_site_label
_atom_site_fract_x
_atom_site_fract_y
_atom_site_fract_z
Li1 0.000 0.261 0.000
Li2 0.000 0.795 0.500
Li3 0.205 0.205 0.500
Li4 0.261 0.000 0.000
Li5 0.739 0.739 0.000
Li6 0.795 0.000 0.500
Sm1 0.333 0.667 0.500
Sm2 0.667 0.333 0.500
Au1 0.000 0.592 0.000
Au2 0.408 0.408 0.000
Au3 0.592 0.000 0.000
```

---

First-principles (PBE-GGA) data for Li8SmAu6 after structural relaxation, as listed in the Alexandria database.

Output
Total DFT energy (no corrections): -3.10 eV per atom
Fermi-level density of states: 0.38 states/eV/atom
Size of the total moment: 0.000 μB per atom

```
data_Li8SmAu6
_chemical_formula_sum 'Li8 Sm1 Au6'
_cell_length_a 6.990
_cell_length_b 6.990
_cell_length_c 6.990
_cell_angle_alpha 72.14
_cell_angle_beta 72.14
_cell_angle_gamma 72.14
_space_group_name_H-M_alt 'P 1'
_space_group_IT_number 1
loop_
_space_group_symop_operation_xyz
'x,y,z'
loop_
_atom_site_label
_atom_site_fract_x
_atom_site_fract_y
_atom_site_fract_z
Li1 0.051 0.555 0.281
Li2 0.132 0.132 0.132
Li3 0.281 0.051 0.555
Li4 0.445 0.719 0.949
Li5 0.555 0.281 0.051
Li6 0.719 0.949 0.445
Li7 0.868 0.868 0.868
Li8 0.949 0.445 0.719
Sm1 0.500 0.500 0.500
Au1 0.102 0.794 0.482
Au2 0.206 0.518 0.898
Au3 0.482 0.102 0.794
Au4 0.518 0.898 0.206
Au5 0.794 0.482 0.102
Au6 0.898 0.206 0.518
```

---

First-principles (PBE-GGA) data for Li2SmAu after structural relaxation, as listed in the Alexandria database.

Output
Fermi-level density of states: 0.79 states/eV/atom
Size of the total moment: 0.000 μB per atom
Energy above the lowest structure with this stoichiometry: 0 meV/atom

```
data_Li2SmAu
_chemical_formula_sum 'Li4 Sm2 Au2'
_cell_length_a 5.562
_cell_length_b 5.562
_cell_length_c 8.208
_cell_angle_alpha 90.00
_cell_angle_beta 90.00
_cell_angle_gamma 136.40
_space_group_name_H-M_alt 'P 1'
_space_group_IT_number 1
loop_
_space_group_symop_operation_xyz
'x,y,z'
loop_
_atom_site_label
_atom_site_fract_x
_atom_site_fract_y
_atom_site_fract_z
Li1 0.157 0.843 0.553
Li2 0.157 0.843 0.947
Li3 0.843 0.157 0.053
Li4 0.843 0.157 0.447
Sm1 0.442 0.558 0.750
Sm2 0.558 0.442 0.250
Au1 0.269 0.731 0.250
Au2 0.731 0.269 0.750
```

---

First-principles (PBE-GGA) data for Li3Sm2Au4 after structural relaxation, as listed in the Alexandria database.

Output
Total DFT energy (no corrections): -3.75 eV per atom
Fermi-level density of states: 0.64 states/eV/atom
Size of the total moment: 0.000 μB per atom

```
data_Li3Sm2Au4
_chemical_formula_sum 'Li6 Sm4 Au8'
_cell_length_a 8.283
_cell_length_b 8.283
_cell_length_c 7.899
_cell_angle_alpha 90.00
_cell_angle_beta 90.00
_cell_angle_gamma 138.43
_space_group_name_H-M_alt 'P 1'
_space_group_IT_number 1
loop_
_space_group_symop_operation_xyz
'x,y,z'
loop_
_atom_site_label
_atom_site_fract_x
_atom_site_fract_y
_atom_site_fract_z
Li1 0.000 0.000 0.000
Li2 0.035 0.465 0.250
Li3 0.465 0.035 0.750
Li4 0.500 0.500 0.500
Li5 0.535 0.965 0.250
Li6 0.965 0.535 0.750
Sm1 0.115 0.885 0.414
Sm2 0.385 0.615 0.914
Sm3 0.615 0.385 0.086
Sm4 0.885 0.115 0.586
Au1 0.185 0.815 0.041
Au2 0.204 0.296 0.250
Au3 0.296 0.204 0.750
Au4 0.315 0.685 0.541
Au5 0.685 0.315 0.459
Au6 0.704 0.796 0.250
Au7 0.796 0.704 0.750
Au8 0.815 0.185 0.959
```

---

First-principles (PBE-GGA) data for Li4SmAu5 after structural relaxation, as listed in the Alexandria database.

Output
Total DFT energy (no corrections): -3.45 eV per atom
Fermi-level density of states: 0.42 states/eV/atom
Size of the total moment: 0.000 μB per atom

```
data_Li4SmAu5
_chemical_formula_sum 'Li4 Sm1 Au5'
_cell_length_a 3.345
_cell_length_b 3.345
_cell_length_c 15.611
_cell_angle_alpha 90.00
_cell_angle_beta 90.00
_cell_angle_gamma 90.00
_space_group_name_H-M_alt 'P 1'
_space_group_IT_number 1
loop_
_space_group_symop_operation_xyz
'x,y,z'
loop_
_atom_site_label
_atom_site_fract_x
_atom_site_fract_y
_atom_site_fract_z
Li1 0.000 0.000 0.092
Li2 0.000 0.000 0.275
Li3 0.000 0.000 0.725
Li4 0.000 0.000 0.908
Sm1 0.000 0.000 0.500
Au1 0.500 0.500 0.000
Au2 0.500 0.500 0.184
Au3 0.500 0.500 0.369
Au4 0.500 0.500 0.631
Au5 0.500 0.500 0.816
```

---

First-principles (PBE-GGA) data for Li2Sm3Au3 after structural relaxation, as listed in the Alexandria database.

Output
Total DFT energy (no corrections): -4.09 eV per atom
Fermi-level density of states: 0.79 states/eV/atom
Size of the total moment: 0.000 μB per atom

```
data_Li2Sm3Au3
_chemical_formula_sum 'Li4 Sm6 Au6'
_cell_length_a 8.748
_cell_length_b 8.748
_cell_length_c 5.688
_cell_angle_alpha 90.00
_cell_angle_beta 90.00
_cell_angle_gamma 120.00
_space_group_name_H-M_alt 'P 1'
_space_group_IT_number 1
loop_
_space_group_symop_operation_xyz
'x,y,z'
loop_
_atom_site_label
_atom_site_fract_x
_atom_site_fract_y
_atom_site_fract_z
Li1 0.333 0.667 0.000
Li2 0.333 0.667 0.500
Li3 0.667 0.333 0.000
Li4 0.667 0.333 0.500
Sm1 0.000 0.258 0.250
Sm2 0.000 0.742 0.750
Sm3 0.258 0.000 0.250
Sm4 0.258 0.258 0.750
Sm5 0.742 0.000 0.750
Sm6 0.742 0.742 0.250
Au1 0.000 0.397 0.750
Au2 0.000 0.603 0.250
Au3 0.397 0.000 0.750
Au4 0.397 0.397 0.250
Au5 0.603 0.000 0.250
Au6 0.603 0.603 0.750
```

---

First-principles (PBE-GGA) data for LiSm2Au7 after structural relaxation, as listed in the Alexandria database.

Output
Total DFT energy (no corrections): -3.61 eV per atom
Fermi-level density of states: 0.53 states/eV/atom
Size of the total moment: 0.000 μB per atom

```
data_LiSm2Au7
_chemical_formula_sum 'Li1 Sm2 Au7'
_cell_length_a 6.849
_cell_length_b 6.849
_cell_length_c 6.849
_cell_angle_alpha 60.00
_cell_angle_beta 60.00
_cell_angle_gamma 60.00
_space_group_name_H-M_alt 'P 1'
_space_group_IT_number 1
loop_
_space_group_symop_operation_xyz
'x,y,z'
loop_
_atom_site_label
_atom_site_fract_x
_atom_site_fract_y
_atom_site_fract_z
Li1 0.000 0.000 0.000
Sm1 0.250 0.250 0.250
Sm2 0.750 0.750 0.750
Au1 0.231 0.231 0.769
Au2 0.231 0.769 0.231
Au3 0.231 0.769 0.769
Au4 0.500 0.500 0.500
Au5 0.769 0.231 0.231
Au6 0.769 0.231 0.769
Au7 0.769 0.769 0.231
```